(1)
Crystalline Pm6MgSc at its relaxed geometry. Source: Alexandria via LeMat-Bulk, functional PBE.

Properties
Crystal system: tetragonal
Total magnetization in μB per atom: 0.000
Formation energy in eV/atom: 0.01
E in eV/cell: -36.31

abc: 5.008 5.008 10.058
angles: 90.00 90.00 90.00
Fractional positions:
1 Pm 0.500 0.500 0.000
2 Pm 0.500 0.500 0.500
3 Pm 0.500 0.000 0.252
4 Pm 0.500 0.000 0.748
5 Pm 0.000 0.500 0.252
6 Pm 0.000 0.500 0.748
7 Mg 0.000 0.000 0.000
8 Sc 0.000 0.000 0.500

=====

(2)
Crystalline Pm2Mg8Sc at its relaxed geometry. Source: Alexandria via LeMat-Bulk, functional PBE.

Properties
Crystal system: monoclinic
Total magnetization in μB per atom: 0.000
Formation energy in eV/atom: -0.04
E in eV/cell: -29.01

abc: 5.024 7.166 8.409
angles: 105.98 107.38 90.00
Fractional positions:
1 Pm 0.222 0.650 0.443
2 Pm 0.778 0.350 0.557
3 Mg 0.668 0.886 0.336
4 Mg 0.414 0.552 0.828
5 Mg 0.141 0.140 0.281
6 Mg 0.978 0.277 0.955
7 Mg 0.859 0.860 0.719
8 Mg 0.586 0.448 0.172
9 Mg 0.332 0.114 0.664
10 Mg 0.022 0.723 0.045
11 Sc 0.500 0.000 0.000

=====

(3)
Crystalline Pm2Mg2Sc at its relaxed geometry. Source: Alexandria via LeMat-Bulk, functional PBE.

Properties
Crystal system: monoclinic
Total magnetization in μB per atom: 0.000
Formation energy in eV/atom: 0.00
E in eV/cell: -19.04

abc: 9.743 3.650 8.075
angles: 47.35 77.14 112.03
Fractional positions:
1 Pm 0.778 0.073 0.803
2 Pm 0.222 0.927 0.197
3 Mg 0.386 0.194 0.461
4 Mg 0.614 0.806 0.539
5 Sc 0.000 0.500 0.000

=====

(4)
Crystalline PmMg2Sc2 at its relaxed geometry. Source: Alexandria via LeMat-Bulk, functional PBE.

Properties
Crystal system: monoclinic
Total magnetization in μB per atom: 0.000
Formation energy in eV/atom: -0.02
E in eV/cell: -41.41

abc: 3.579 5.308 13.632
angles: 90.00 97.54 90.00
Fractional positions:
1 Pm 0.846 0.750 0.693
2 Pm 0.154 0.250 0.307
3 Mg 0.640 0.750 0.280
4 Mg 0.360 0.250 0.720
5 Mg 0.450 0.750 0.901
6 Mg 0.550 0.250 0.099
7 Sc 0.045 0.750 0.090
8 Sc 0.955 0.250 0.910
9 Sc 0.237 0.750 0.475
10 Sc 0.763 0.250 0.525

=====

(5)
Crystalline Pm2MgSc3 at its relaxed geometry. Source: Alexandria via LeMat-Bulk, functional PBE.

Properties
Crystal system: monoclinic
Total magnetization in μB per atom: 0.000
Formation energy in eV/atom: 0.06
E in eV/cell: -59.41

abc: 5.352 8.512 9.389
angles: 123.48 90.00 108.32
Fractional positions:
1 Pm 0.536 0.072 0.857
2 Pm 0.464 0.928 0.143
3 Pm 0.806 0.613 0.132
4 Pm 0.194 0.387 0.868
5 Mg 0.880 0.759 0.855
6 Mg 0.120 0.241 0.145
7 Sc 0.286 0.572 0.621
8 Sc 0.943 0.887 0.592
9 Sc 0.632 0.264 0.619
10 Sc 0.368 0.736 0.381
11 Sc 0.057 0.113 0.408
12 Sc 0.714 0.428 0.379

=====

(6)
Crystalline Pm4Mg5Sc at its relaxed geometry. Source: Alexandria via LeMat-Bulk, functional PBE.

Properties
Crystal system: tetragonal
Total magnetization in μB per atom: 0.000
Formation energy in eV/atom: -0.08
E in eV/cell: -34.15

abc: 3.801 3.801 19.175
angles: 90.00 90.00 90.00
Fractional positions:
1 Pm 0.000 0.000 0.191
2 Pm 0.000 0.000 0.397
3 Pm 0.000 0.000 0.603
4 Pm 0.000 0.000 0.809
5 Mg 0.500 0.500 0.087
6 Mg 0.500 0.500 0.294
7 Mg 0.500 0.500 0.500
8 Mg 0.500 0.500 0.706
9 Mg 0.500 0.500 0.913
10 Sc 0.000 0.000 0.000

=====

(7)
Crystalline PmMgSc at its relaxed geometry. Source: Alexandria via LeMat-Bulk, functional PBE.

Properties
Crystal system: orthorhombic
Total magnetization in μB per atom: 0.000
Formation energy in eV/atom: -0.01
E in eV/cell: -25.39
ΔE to the lowest computed polymorph in meV per atom: 13

abc: 3.400 3.404 14.586
angles: 90.00 76.50 90.00
Fractional positions:
1 Pm 0.127 0.291 0.502
2 Pm 0.118 0.791 0.011
3 Mg 0.444 0.293 0.185
4 Mg 0.801 0.793 0.328
5 Sc 0.794 0.290 0.834
6 Sc 0.451 0.790 0.678

=====

(8)
Crystalline Pm4MgSc at its relaxed geometry. Source: Alexandria via LeMat-Bulk, functional PBE.

Properties
Crystal system: tetragonal
Total magnetization in μB per atom: 0.000
Formation energy in eV/atom: 0.00
E in eV/cell: -26.94
ΔE to the lowest computed polymorph in meV per atom: 0

abc: 3.615 3.615 14.166
angles: 90.00 90.00 90.00
Fractional positions:
1 Pm 0.500 0.500 0.163
2 Pm 0.000 0.000 0.658
3 Pm 0.000 0.000 0.342
4 Pm 0.500 0.500 0.837
5 Mg 0.500 0.500 0.500
6 Sc 0.000 0.000 0.000